The following is a PBE calculation of Li2Hg3I8 after structural relaxation, from Alexandria.

abc: 8.9400 8.9400 19.4339
angles: 94.93 94.93 53.20
Sites, in units of the cell vectors:
Li (0.0741, 0.4048, 0.3229)
Li (0.4048, 0.0741, 0.8229)
Li (0.5952, 0.9259, 0.1771)
Li (0.9259, 0.5952, 0.6771)
Hg (0.0805, 0.3422, 0.0765)
Hg (0.1876, 0.8124, 0.7500)
Hg (0.3422, 0.0805, 0.5765)
Hg (0.6578, 0.9195, 0.4235)
Hg (0.8124, 0.1876, 0.2500)
Hg (0.9195, 0.6578, 0.9235)
I (0.0401, 0.6816, 0.4084)
I (0.0963, 0.7458, 0.6240)
I (0.1418, 0.4590, 0.8005)
I (0.2103, 0.5416, 0.0332)
I (0.2542, 0.9037, 0.8760)
I (0.3184, 0.9599, 0.0916)
I (0.4584, 0.7897, 0.4668)
I (0.4590, 0.1418, 0.3005)
I (0.5410, 0.8582, 0.6995)
I (0.5416, 0.2103, 0.5332)
I (0.6816, 0.0401, 0.9084)
I (0.7458, 0.0963, 0.1240)
I (0.7897, 0.4584, 0.9668)
I (0.8582, 0.5410, 0.1995)
I (0.9037, 0.2542, 0.3760)
I (0.9599, 0.3184, 0.5916)

- VASP energy: -1.87 eV/atom
- Crystal system: monoclinic

The following is a PBE calculation of TiSi2Mo after structural relaxation, from Alexandria.

abc: 9.5089 9.5089 9.5089
angles: 157.57 157.57 31.93
Sites, in units of the cell vectors:
Ti (0.0000, 0.0000, 0.0000)
Ti (0.7500, 0.2500, 0.5000)
Si (0.1138, 0.6250, 0.9888)
Si (0.3750, 0.3638, 0.4888)
Si (0.6362, 0.1250, 0.0112)
Si (0.8750, 0.8862, 0.5112)
Mo (0.2500, 0.7500, 0.5000)
Mo (0.5000, 0.5000, 0.0000)

- VASP energy: -7.37 eV/atom
- Crystal system: tetragonal